NaCuSnTeSe2 | PBE | relaxed

```
data_NaCuSnTeSe2
_chemical_formula_sum 'Na4 Cu4 Sn4 Te4 Se8'
_cell_length_a 3.855
_cell_length_b 14.003
_cell_length_c 11.337
_cell_angle_alpha 90.00
_cell_angle_beta 90.00
_cell_angle_gamma 90.00
_space_group_name_H-M_alt 'C m c m'
_space_group_IT_number 63
_space_group_name_Hall '-C 2c 2'
loop_
_atom_site_label
_atom_site_fract_x
_atom_site_fract_y
_atom_site_fract_z
Na1 0.000 0.231 0.250
Cu1 0.000 0.448 0.750
Sn1 0.000 0.000 0.000
Te1 0.000 0.080 0.750
Se1 0.000 0.366 0.563
```

calculated total energy: -21.6 eV per formula unit



Cd3SiIr5 | PBE | relaxed

```
data_Cd3SiIr5
_chemical_formula_sum 'Cd3 Si1 Ir5'
_cell_length_a 6.7702
_cell_length_b 6.7702
_cell_length_c 3.7819
_cell_angle_alpha 90.00
_cell_angle_beta 90.00
_cell_angle_gamma 120.00
_space_group_name_H-M_alt 'P -6 2 m'
_space_group_IT_number 189
_space_group_name_Hall 'P -6 -2'
loop_
_atom_site_label
_atom_site_fract_x
_atom_site_fract_y
_atom_site_fract_z
Cd1 0.0000 0.5863 0.0000
Si1 0.0000 0.0000 0.0000
Ir1 0.0000 0.2427 0.5000
Ir2 0.3333 0.6667 0.5000
```

total magnetic moment: 0.004 μB/cell
calculated total energy: -51.9 eV per formula unit



Zr3SiB2 | PBE | relaxed

```
data_Zr3SiB2
_chemical_formula_sum 'Zr6 Si2 B4'
_cell_length_a 3.4367
_cell_length_b 3.4367
_cell_length_c 19.3712
_cell_angle_alpha 90.00
_cell_angle_beta 90.00
_cell_angle_gamma 120.00
_space_group_name_H-M_alt 'P 63/m m c'
_space_group_IT_number 194
_space_group_name_Hall '-P 6c 2c'
loop_
_atom_site_label
_atom_site_fract_x
_atom_site_fract_y
_atom_site_fract_z
Zr1 0.0000 0.0000 0.0000
Zr2 0.3333 0.6667 0.1451
Si1 0.0000 0.0000 0.2500
B1 0.3333 0.6667 0.5757
```

total magnetic moment: 0.014 μB/cell
calculated total energy: -47.2 eV per formula unit



Y3HoEr2As2Os | PBE | relaxed

```
data_Y3HoEr2As2Os
_chemical_formula_sum 'Y6 Ho2 Er4 As4 Os2'
_cell_length_a 4.152
_cell_length_b 13.626
_cell_length_c 7.853
_cell_angle_alpha 90.00
_cell_angle_beta 90.00
_cell_angle_gamma 90.00
_space_group_name_H-M_alt 'A m m 2'
_space_group_IT_number 38
_space_group_name_Hall 'A 2 -2'
loop_
_atom_site_label
_atom_site_fract_x
_atom_site_fract_y
_atom_site_fract_z
Y1 0.000 0.000 0.000
Y2 0.000 0.203 0.608
Ho1 0.500 0.000 0.648
Er1 0.500 0.122 0.283
As1 0.500 0.167 0.905
Os1 0.000 0.000 0.403
```

total magnetic moment: 0.123 μB/cell
calculated total energy: -60.5 eV per formula unit



Tl2InCuF6 | PBE | relaxed

```
data_Tl2InCuF6
_chemical_formula_sum 'Tl6 In3 Cu3 F18'
_cell_length_a 5.9191
_cell_length_b 5.9191
_cell_length_c 14.5715
_cell_angle_alpha 90.00
_cell_angle_beta 90.00
_cell_angle_gamma 120.00
_space_group_name_H-M_alt 'R -3'
_space_group_IT_number 148
_space_group_name_Hall '-R 3'
loop_
_atom_site_label
_atom_site_fract_x
_atom_site_fract_y
_atom_site_fract_z
Tl1 0.0000 0.0000 0.2498
In1 0.0000 0.0000 0.0000
Cu1 0.0000 0.0000 0.5000
F1 0.0019 0.5208 0.2502
```

E above lowest polymorph: 0.0049 eV per atom



Er3Sc3CuTe2 | PBE | relaxed

```
data_Er3Sc3CuTe2
_chemical_formula_sum 'Er3 Sc3 Cu1 Te2'
_cell_length_a 8.1443
_cell_length_b 8.1443
_cell_length_c 3.7805
_cell_angle_alpha 90.00
_cell_angle_beta 90.00
_cell_angle_gamma 120.00
_space_group_name_H-M_alt 'P -6 2 m'
_space_group_IT_number 189
_space_group_name_Hall 'P -6 -2'
loop_
_atom_site_label
_atom_site_fract_x
_atom_site_fract_y
_atom_site_fract_z
Er1 0.0000 0.2487 0.0000
Sc1 0.0000 0.5980 0.5000
Cu1 0.0000 0.0000 0.5000
Te1 0.3333 0.6667 0.0000
```

total magnetic moment: 0.001 μB/cell
E above lowest polymorph: 0.0757 eV per atom



PaCo | PBE | relaxed

```
data_PaCo
_chemical_formula_sum 'Pa1 Co1'
_cell_length_a 3.305
_cell_length_b 3.305
_cell_length_c 3.305
_cell_angle_alpha 90.00
_cell_angle_beta 90.00
_cell_angle_gamma 90.00
_space_group_name_H-M_alt 'P m -3 m'
_space_group_IT_number 221
_space_group_name_Hall '-P 4 2 3'
loop_
_atom_site_label
_atom_site_fract_x
_atom_site_fract_y
_atom_site_fract_z
Pa1 0.000 0.000 0.000
Co1 0.500 0.500 0.500
```

ΔE_f: -0.088 eV per atom
total magnetic moment: 0.193 μB/cell



Er2SnAu | PBE | relaxed

```
data_Er2SnAu
_chemical_formula_sum 'Er4 Sn2 Au2'
_cell_length_a 4.357
_cell_length_b 4.172
_cell_length_c 11.197
_cell_angle_alpha 90.00
_cell_angle_beta 90.00
_cell_angle_gamma 90.00
_space_group_name_H-M_alt 'A m m 2'
_space_group_IT_number 38
_space_group_name_Hall 'A 2 -2'
loop_
_atom_site_label
_atom_site_fract_x
_atom_site_fract_y
_atom_site_fract_z
Er1 0.000 0.000 0.000
Er2 0.500 0.000 0.282
Sn1 0.500 0.000 0.562
Au1 0.000 0.000 0.738
```

total magnetic moment: 0.005 μB/cell
calculated total energy: -19.5 eV per formula unit



Y3Ta3W2N12 | PBE | relaxed

```
data_Y3Ta3W2N12
_chemical_formula_sum 'Y24 Ta24 W16 N96'
_cell_length_a 12.811
_cell_length_b 12.811
_cell_length_c 12.811
_cell_angle_alpha 90.00
_cell_angle_beta 90.00
_cell_angle_gamma 90.00
_space_group_name_H-M_alt 'I a -3 d'
_space_group_IT_number 230
_space_group_name_Hall '-I 4bd 2c 3'
loop_
_atom_site_label
_atom_site_fract_x
_atom_site_fract_y
_atom_site_fract_z
Y1 0.000 0.250 0.125
Ta1 0.000 0.250 0.375
W1 0.000 0.000 0.000
N1 0.029 0.053 0.646
```

total magnetic moment: 0.003 μB/cell
calculated total energy: -200.5 eV per formula unit



RbUTlTe3 | PBE | relaxed

```
data_RbUTlTe3
_chemical_formula_sum 'Rb4 U4 Tl4 Te12'
_cell_length_a 4.511
_cell_length_b 17.512
_cell_length_c 13.016
_cell_angle_alpha 90.00
_cell_angle_beta 90.00
_cell_angle_gamma 90.00
_space_group_name_H-M_alt 'C m c m'
_space_group_IT_number 63
_space_group_name_Hall '-C 2c 2'
loop_
_atom_site_label
_atom_site_fract_x
_atom_site_fract_y
_atom_site_fract_z
Rb1 0.000 0.183 0.250
U1 0.000 0.500 0.000
Tl1 0.000 0.126 0.750
Te1 0.000 0.117 0.001
Te2 0.000 0.499 0.750
```

total magnetic moment: 8.022 μB/cell
calculated total energy: -27.8 eV per formula unit



RbZnTe | PBE | relaxed

```
data_RbZnTe
_chemical_formula_sum 'Rb4 Zn4 Te4'
_cell_length_a 7.921
_cell_length_b 7.921
_cell_length_c 7.921
_cell_angle_alpha 90.00
_cell_angle_beta 90.00
_cell_angle_gamma 90.00
_space_group_name_H-M_alt 'F -4 3 m'
_space_group_IT_number 216
_space_group_name_Hall 'F -4 2 3'
loop_
_atom_site_label
_atom_site_fract_x
_atom_site_fract_y
_atom_site_fract_z
Rb1 0.000 0.000 0.000
Zn1 0.000 0.000 0.500
Te1 0.250 0.250 0.250
```

calculated total energy: -6.0 eV per formula unit



PrGdSe2F2 | PBE | relaxed

```
data_PrGdSe2F2
_chemical_formula_sum 'Pr1 Gd1 Se2 F2'
_cell_length_a 3.952
_cell_length_b 3.952
_cell_length_c 7.117
_cell_angle_alpha 90.00
_cell_angle_beta 90.00
_cell_angle_gamma 90.00
_space_group_name_H-M_alt 'P 4 m m'
_space_group_IT_number 99
_space_group_name_Hall 'P 4 -2'
loop_
_atom_site_label
_atom_site_fract_x
_atom_site_fract_y
_atom_site_fract_z
Pr1 0.000 0.000 0.000
Gd1 0.500 0.500 0.436
Se1 0.000 0.000 0.570
Se2 0.500 0.500 0.853
F1 0.000 0.500 0.223
```

total magnetic moment: 0.002 μB/cell
calculated total energy: -37.4 eV per formula unit